The following is a DFT calculation (PBE) of crystalline Cd2TcAu at its relaxed geometry.

Cell and atoms, written as POSCAR:
```
Cd2TcAu
1.0
2.837 0.000 0.000
0.000 4.306 0.000
-0.016 0.000 5.953
Cd Tc Au
2 1 1
direct
0.000 0.000 0.000
0.500 0.500 0.275
0.500 0.500 0.768
0.000 0.000 0.526
```

Output
Energy of formation from the pure elements (meV per atom): 307
Electronic total energy (eV per cell): -14.247

The following is a DFT calculation (PBE) of crystalline CrMo2Au at its relaxed geometry.

Cell and atoms, written as POSCAR:
```
CrMo2Au
1.0
2.714 0.000 0.000
0.000 4.395 0.000
-0.950 0.000 5.220
Cr Mo Au
1 2 1
direct
0.000 0.000 0.000
0.436 0.000 0.437
0.710 0.500 0.180
0.042 0.500 0.703
```

Output
Energy of formation from the pure elements (meV per atom): 283
Electronic total energy (eV per cell): -33.431

The following is a DFT calculation (PBE) of crystalline Pr4Zn2In5 at its relaxed geometry.

Cell and atoms, written as POSCAR:
```
Pr4Zn2In5
1.0
7.902 0.000 0.000
0.000 3.737 0.000
-0.695 0.000 10.094
Pr Zn In
4 2 5
direct
0.173 0.000 0.376
0.262 0.000 0.942
0.738 0.000 0.058
0.827 0.000 0.624
0.058 0.500 0.128
0.942 0.500 0.872
0.184 0.500 0.665
0.437 0.500 0.196
0.500 0.500 0.500
0.563 0.500 0.804
0.816 0.500 0.335
```

Output
Energy of formation from the pure elements (meV per atom): -394
Electronic total energy (eV per cell): -39.691